# 1
DFT (PBE-GGA) results for an optimized crystal structure of AcThAu2O8.

abc: 5.762 5.762 6.721
angles: 115.38 115.38 90.00
Positions (direct):
O1 0.963 0.887 0.578
O2 0.682 0.841 0.063
O3 0.615 0.691 0.578
O4 0.778 0.318 0.937
O5 0.159 0.620 0.937
O6 0.113 0.385 0.422
O7 0.380 0.222 0.063
O8 0.309 0.037 0.422
Th1 0.000 0.000 0.000
Ac1 0.750 0.250 0.500
Au1 0.500 0.500 0.000
Au2 0.250 0.750 0.500

SG: No. 82
total DFT energy (no corrections): -6.220 eV/atom
density: 9.2 Mg/m³
magnetization: 3.11 μB per formula unit

---

# 2
DFT (PBE-GGA) results for an optimized crystal structure of LaTb2Sm2Ho.

abc: 3.535 16.418 6.976
angles: 90.00 90.00 90.00
Positions (direct):
Sm1 0.500 0.159 0.748
Sm2 0.500 0.841 0.252
Sm3 0.000 0.341 0.248
Sm4 0.000 0.659 0.752
La1 0.000 0.000 0.000
La2 0.500 0.500 0.500
Ho1 0.000 0.000 0.500
Ho2 0.500 0.500 0.000
Tb1 0.000 0.344 0.750
Tb2 0.500 0.844 0.750
Tb3 0.500 0.156 0.250
Tb4 0.000 0.656 0.250

SG: No. 58
energy relative to the elements: 0.1510 eV per atom
total DFT energy (no corrections): -4.550 eV/atom
density: 7.6 Mg/m³
magnetization: 0.00 μB per formula unit

---

# 3
DFT (PBE-GGA) results for an optimized crystal structure of TaIn2SiC.

abc: 5.584 3.275 5.584
angles: 90.00 90.00 90.00
Positions (direct):
Si1 0.000 0.000 0.000
Ta1 0.500 0.500 0.500
In1 0.500 0.000 0.000
In2 0.000 0.000 0.500
C1 0.000 0.500 0.000

SG: No. 123
total DFT energy (no corrections): -5.165 eV/atom
density: 7.3 Mg/m³
magnetization: 0.00 μB per formula unit